# RbMgFe2F8

RbMgFe2F8 after structural relaxation (GGA+U, Alexandria via LeMat-Bulk).

Results
electronic total energy	-5.04	eV per atom
density	2.96	g/cm³
N(E_F)	0.8032	states/eV per atom
M_tot	0.750	μB/atom

The structure in CIF format:
```
data_RbMgFe2F8
_chemical_formula_sum 'Rb1 Mg1 Fe2 F8'
_symmetry_space_group_name_H-M 'P -3'
_symmetry_Int_Tables_number 147
_cell_length_a 5.5504
_cell_length_b 5.5504
_cell_length_c 7.8446
_cell_angle_alpha 90.00
_cell_angle_beta 90.00
_cell_angle_gamma 120.00
loop_
_symmetry_equiv_pos_as_xyz
'x,y,z'
'-x,-y,-z'
'-y,x-y,z'
'y,-x+y,-z'
'-x+y,-x,z'
'x-y,x,-z'
loop_
_atom_site_label
_atom_site_type_symbol
_atom_site_fract_x
_atom_site_fract_y
_atom_site_fract_z
Rb1 Rb 0.0000 0.0000 0.0000
Mg1 Mg 0.0000 0.0000 0.5000
Fe1 Fe 0.3333 0.6667 0.7233
F1 F 0.0447 0.3080 0.6521
F2 F 0.3333 0.6667 0.9616
```